VASP calculation (PBEsol) on CsB9H14 after structural relaxation.

Output
As for the magnetization: 0.0 μB per cell. The symmetry is P-1 (2). For the total energy, the calculation gives -228.0 eV for the cell shown.

Lattice parameters (Å, degrees): 5.467 8.601 9.549 87.47 84.06 81.47
Element x y z (fractional)
H: 0.328 0.730 0.875
H: 0.568 0.998 0.273
H: 0.523 0.117 0.081
H: 0.198 0.063 0.015
H: 0.430 0.520 0.238
H: 0.451 0.366 0.523
H: 0.524 0.661 0.035
H: 0.802 0.937 0.985
H: 0.570 0.480 0.762
H: 0.432 0.002 0.727
H: 0.044 0.595 0.594
H: 0.512 0.855 0.563
H: 0.295 0.862 0.289
H: 0.672 0.270 0.125
H: 0.021 0.392 0.101
H: 0.705 0.138 0.711
H: 0.834 0.919 0.466
H: 0.166 0.081 0.534
H: 0.103 0.900 0.723
H: 0.897 0.100 0.277
H: 0.956 0.405 0.406
H: 0.476 0.339 0.965
H: 0.488 0.145 0.437
H: 0.412 0.689 0.676
H: 0.588 0.311 0.324
H: 0.549 0.634 0.477
H: 0.979 0.608 0.899
H: 0.477 0.883 0.919
B: 0.132 0.319 0.352
B: 0.901 0.858 0.729
B: 0.868 0.681 0.648
B: 0.531 0.724 0.920
B: 0.469 0.276 0.080
B: 0.348 0.994 0.273
B: 0.283 0.112 0.113
B: 0.392 0.385 0.251
B: 0.099 0.142 0.271
B: 0.409 0.298 0.423
B: 0.749 0.870 0.577
B: 0.169 0.307 0.165
B: 0.652 0.006 0.727
B: 0.717 0.888 0.887
B: 0.608 0.615 0.749
B: 0.591 0.702 0.577
B: 0.831 0.693 0.835
B: 0.251 0.130 0.423
Cs: 0.091 0.285 0.784
Cs: 0.909 0.715 0.216